## CeHF (PBE)

Data for an optimized crystal structure of CeHF.

As for the crystal system: orthorhombic. The value obtained for the total energy is -5.6618 eV per atom. The calculation puts the total moment at 0.338 μB per atom.

The structure in extended XYZ format:
```
6
Lattice="0.000 2.707 6.066 2.698 0.000 6.066 2.698 2.707 0.000" Properties=species:S:1:pos:R:3 pbc="T T T"
Ce 2.698 2.707 1.655
Ce 2.698 2.707 10.476
H 1.349 1.354 3.033
H 4.047 4.061 9.098
F 1.349 1.354 0.000
F 1.349 1.354 6.066
```